[1]
## LaCd13 (PBEsol)

Data for crystalline LaCd13 at its relaxed geometry.

a b c (Å): 9.553 9.553 9.553
angles (deg): 60.00 60.00 60.00
Positions (direct):
Cd (0.442, 0.198, 0.802)
Cd (0.198, 0.442, 0.558)
Cd (0.802, 0.558, 0.442)
Cd (0.558, 0.802, 0.198)
Cd (0.558, 0.198, 0.442)
Cd (0.802, 0.442, 0.198)
Cd (0.198, 0.558, 0.802)
Cd (0.442, 0.802, 0.558)
Cd (0.802, 0.198, 0.558)
Cd (0.558, 0.442, 0.802)
Cd (0.442, 0.558, 0.198)
Cd (0.198, 0.802, 0.442)
Cd (0.302, 0.058, 0.698)
Cd (0.058, 0.302, 0.942)
Cd (0.942, 0.698, 0.058)
Cd (0.698, 0.942, 0.302)
Cd (0.302, 0.942, 0.058)
Cd (0.058, 0.698, 0.302)
Cd (0.942, 0.302, 0.698)
Cd (0.698, 0.058, 0.942)
Cd (0.302, 0.698, 0.942)
Cd (0.058, 0.942, 0.698)
Cd (0.942, 0.058, 0.302)
Cd (0.698, 0.302, 0.058)
Cd (0.500, 0.500, 0.500)
Cd (0.000, 0.000, 0.000)
La (0.750, 0.750, 0.750)
La (0.250, 0.250, 0.250)

Values from the calculation:
electronic total energy: -44.7 eV/cell
formation enthalpy at 0 K: -1.45 eV per formula unit
Fermi-level density of states: 8.8 states/eV/cell

***

[2]
## LaCd3 (PBEsol)

Data for crystalline LaCd3 at its relaxed geometry.

a b c (Å): 4.667 4.667 4.667
angles (deg): 90.00 90.00 90.00
Positions (direct):
La (0.500, 0.500, 0.500)
Cd (0.000, 0.000, 0.500)
Cd (0.000, 0.500, 0.000)
Cd (0.500, 0.000, 0.000)

Values from the calculation:
electronic total energy: -9.8 eV/cell
formation enthalpy at 0 K: -0.84 eV per formula unit
Fermi-level density of states: 4.8 states/eV/cell

***

[3]
## LaCd (PBEsol)

Data for crystalline LaCd at its relaxed geometry.

a b c (Å): 4.652 4.652 6.023
angles (deg): 112.72 112.72 90.00
Positions (direct):
La (0.750, 0.250, 0.500)
La (0.500, 0.500, 0.000)
Cd (0.000, 0.000, 0.000)
Cd (0.250, 0.750, 0.500)

Values from the calculation:
electronic total energy: -14.1 eV/cell
formation enthalpy at 0 K: -0.49 eV per formula unit
Fermi-level density of states: 3.8 states/eV/cell

***

[4]
## La2Cd (PBEsol)

Data for crystalline La2Cd at its relaxed geometry.

a b c (Å): 3.445 5.507 5.507
angles (deg): 90.00 90.00 90.00
Positions (direct):
Cd (0.000, 0.000, 0.000)
La (0.500, 0.000, 0.500)
La (0.500, 0.500, 0.000)

Values from the calculation:
electronic total energy: -11.7 eV/cell
formation enthalpy at 0 K: 0.19 eV per formula unit
Fermi-level density of states: 4.6 states/eV/cell

***

[5]
## LaCd3 (PBEsol)

Data for crystalline LaCd3 at its relaxed geometry.

a b c (Å): 4.902 4.902 8.945
angles (deg): 105.90 105.90 90.00
Positions (direct):
Cd (0.500, 0.000, 0.000)
Cd (0.869, 0.869, 0.738)
Cd (0.131, 0.131, 0.262)
Cd (0.250, 0.750, 0.500)
Cd (0.750, 0.250, 0.500)
Cd (0.000, 0.500, 0.000)
La (0.633, 0.633, 0.267)
La (0.367, 0.367, 0.733)

Values from the calculation:
electronic total energy: -19.9 eV/cell
formation enthalpy at 0 K: -1.03 eV per formula unit
Fermi-level density of states: 5.5 states/eV/cell

***

[6]
## La3Cd (PBEsol)

Data for crystalline La3Cd at its relaxed geometry.

a b c (Å): 3.659 5.740 5.740
angles (deg): 90.00 90.00 90.00
Positions (direct):
La (0.500, 0.000, 0.500)
La (0.500, 0.500, 0.000)
La (0.000, 0.500, 0.500)
Cd (0.000, 0.000, 0.000)

Values from the calculation:
electronic total energy: -17.7 eV/cell
formation enthalpy at 0 K: -0.49 eV per formula unit
Fermi-level density of states: 4.8 states/eV/cell

***

[7]
## LaCd22 (PBEsol)

Data for crystalline LaCd22 at its relaxed geometry.

a b c (Å): 11.205 11.205 11.205
angles (deg): 60.00 60.00 60.00
Positions (direct):
Cd (0.445, 0.183, 0.445)
Cd (0.445, 0.928, 0.445)
Cd (0.928, 0.445, 0.183)
Cd (0.183, 0.445, 0.928)
Cd (0.928, 0.183, 0.445)
Cd (0.183, 0.928, 0.445)
Cd (0.445, 0.445, 0.928)
Cd (0.445, 0.445, 0.183)
Cd (0.445, 0.183, 0.928)
Cd (0.445, 0.928, 0.183)
Cd (0.183, 0.445, 0.445)
Cd (0.928, 0.445, 0.445)
Cd (0.805, 0.322, 0.805)
Cd (0.805, 0.067, 0.805)
Cd (0.322, 0.805, 0.067)
Cd (0.067, 0.805, 0.322)
Cd (0.322, 0.805, 0.805)
Cd (0.067, 0.805, 0.805)
Cd (0.805, 0.067, 0.322)
Cd (0.805, 0.322, 0.067)
Cd (0.805, 0.805, 0.322)
Cd (0.805, 0.805, 0.067)
Cd (0.067, 0.322, 0.805)
Cd (0.322, 0.067, 0.805)
Cd (0.890, 0.890, 0.610)
Cd (0.610, 0.610, 0.890)
Cd (0.610, 0.890, 0.890)
Cd (0.890, 0.610, 0.610)
Cd (0.610, 0.890, 0.610)
Cd (0.890, 0.610, 0.890)
Cd (0.360, 0.640, 0.640)
Cd (0.640, 0.360, 0.360)
Cd (0.640, 0.640, 0.360)
Cd (0.360, 0.360, 0.640)
Cd (0.640, 0.360, 0.640)
Cd (0.360, 0.640, 0.360)
Cd (0.125, 0.625, 0.125)
Cd (0.125, 0.125, 0.125)
Cd (0.125, 0.125, 0.625)
Cd (0.625, 0.125, 0.125)
Cd (0.625, 0.125, 0.625)
Cd (0.625, 0.625, 0.625)
Cd (0.625, 0.625, 0.125)
Cd (0.125, 0.625, 0.625)
La (0.250, 0.250, 0.250)
La (0.000, 0.000, 0.000)

Values from the calculation:
electronic total energy: -66.3 eV/cell
formation enthalpy at 0 K: -1.47 eV per formula unit
Fermi-level density of states: 12.6 states/eV/cell

***

[8]
## LaCd2 (PBEsol)

Data for crystalline LaCd2 at its relaxed geometry.

a b c (Å): 5.049 6.574 9.398
angles (deg): 90.00 90.00 90.00
Positions (direct):
Cd (0.750, 0.971, 0.724)
Cd (0.750, 0.829, 0.407)
Cd (0.250, 0.671, 0.907)
Cd (0.250, 0.529, 0.224)
Cd (0.750, 0.471, 0.776)
Cd (0.750, 0.329, 0.093)
Cd (0.250, 0.171, 0.593)
Cd (0.250, 0.029, 0.276)
La (0.750, 0.814, 0.077)
La (0.250, 0.686, 0.577)
La (0.750, 0.314, 0.423)
La (0.250, 0.186, 0.923)

Values from the calculation:
electronic total energy: -34.7 eV/cell
formation enthalpy at 0 K: -0.93 eV per formula unit
Fermi-level density of states: 9.8 states/eV/cell

***

[9]
## LaCd2 (PBEsol)

Data for crystalline LaCd2 at its relaxed geometry.

a b c (Å): 4.671 4.934 6.921
angles (deg): 90.00 109.72 90.00
Positions (direct):
La (0.416, 0.750, 0.833)
La (0.584, 0.250, 0.167)
Cd (0.743, 0.750, 0.487)
Cd (0.893, 0.250, 0.787)
Cd (0.107, 0.750, 0.213)
Cd (0.257, 0.250, 0.513)

Values from the calculation:
electronic total energy: -17.2 eV/cell
formation enthalpy at 0 K: -0.88 eV per formula unit
Fermi-level density of states: 4.4 states/eV/cell

***

[10]
## La5Cd (PBEsol)

Data for crystalline La5Cd at its relaxed geometry.

a b c (Å): 3.694 3.694 14.141
angles (deg): 90.00 90.00 90.00
Positions (direct):
La (0.000, 0.000, 0.646)
La (0.500, 0.500, 0.822)
La (0.000, 0.000, 0.000)
La (0.500, 0.500, 0.178)
La (0.000, 0.000, 0.354)
Cd (0.500, 0.500, 0.500)

Values from the calculation:
electronic total energy: -28.5 eV/cell
distance to the lowest polymorph of the same formula: 0 meV per atom
formation enthalpy at 0 K: -0.61 eV per formula unit
Fermi-level density of states: 8.1 states/eV/cell

***

[11]
## La3Cd (PBEsol)

Data for crystalline La3Cd at its relaxed geometry.

a b c (Å): 4.956 4.956 4.956
angles (deg): 90.00 90.00 90.00
Positions (direct):
La (0.000, 0.500, 0.500)
La (0.500, 0.000, 0.500)
La (0.500, 0.500, 0.000)
Cd (0.000, 0.000, 0.000)

Values from the calculation:
electronic total energy: -17.8 eV/cell
formation enthalpy at 0 K: -0.56 eV per formula unit
Fermi-level density of states: 5.1 states/eV/cell

***

[12]
## LaCd2 (PBEsol)

Data for crystalline LaCd2 at its relaxed geometry.

a b c (Å): 5.278 5.278 6.558
angles (deg): 90.00 90.00 120.00
Positions (direct):
La (0.667, 0.333, 0.250)
La (0.333, 0.667, 0.750)
Cd (0.000, 0.000, 0.000)
Cd (0.000, 0.000, 0.500)
Cd (0.667, 0.333, 0.750)
Cd (0.333, 0.667, 0.250)

Values from the calculation:
electronic total energy: -17.2 eV/cell
formation enthalpy at 0 K: -0.86 eV per formula unit
Fermi-level density of states: 5.2 states/eV/cell

***

> What is the formation enthalpy at 0 K in the third record?

-0.49 eV per formula unit

***

> Number 8 is which compound?

LaCd2

***

> Which of these has the highest formation enthalpy at 0 K?

La2Cd

***

> Number 1 is which compound?

LaCd13